No. 1
# NbCdAgO4 | Alexandria | PBE-GGA | relaxed
data_NbCdAgO4
_cell_length_a 6.2846
_cell_length_b 6.4376
_cell_length_c 7.1118
_cell_angle_alpha 90.00
_cell_angle_beta 115.97
_cell_angle_gamma 90.00
_symmetry_space_group_name_H-M 'P 1 21/m 1'
_symmetry_Int_Tables_number 11
loop_
_symmetry_equiv_pos_as_xyz
'x,y,z'
'-x,-y,-z'
'-x,y+1/2,-z'
'x,-y+1/2,z'
loop_
_atom_site_label
_atom_site_type_symbol
_atom_site_fract_x
_atom_site_fract_y
_atom_site_fract_z
Nb1 Nb 0.2332 0.2500 0.1461
Cd1 Cd 0.3465 0.7500 0.9753
Ag1 Ag 0.0285 0.2500 0.5776
O1 O 0.0181 0.2500 0.8681
O2 O 0.0273 0.2500 0.2825
O3 O 0.4412 0.0263 0.1823
# E_form (uncorrected) in eV per formula unit: -10.396
# Total magnetic moment in μB/f.u.: 0.000
# Fermi-level density of states in states/eV per atom: 0.00



No. 2
# NbCd2AgPt | Alexandria | PBE-GGA | relaxed
data_NbCd2AgPt
_cell_length_a 4.9669
_cell_length_b 4.9669
_cell_length_c 5.0425
_cell_angle_alpha 90.00
_cell_angle_beta 90.00
_cell_angle_gamma 90.00
_symmetry_space_group_name_H-M 'P 4/m m m'
_symmetry_Int_Tables_number 123
_symmetry_space_group_name_Hall '-P 4 2'
loop_
_atom_site_label
_atom_site_type_symbol
_atom_site_fract_x
_atom_site_fract_y
_atom_site_fract_z
Nb1 Nb 0.0000 0.0000 0.0000
Cd1 Cd 0.0000 0.5000 0.5000
Ag1 Ag 0.5000 0.5000 0.5000
Pt1 Pt 0.5000 0.5000 0.0000
# DFT total energy in eV for the cell shown: -15.35
# Total magnetic moment in μB/f.u.: 3.175
# Fermi-level density of states in states/eV per atom: 1.01



No. 3
# RbNb2CdAg | Alexandria | PBE-GGA | relaxed
data_RbNb2CdAg
_cell_length_a 4.8942
_cell_length_b 4.8942
_cell_length_c 5.2903
_cell_angle_alpha 90.00
_cell_angle_beta 90.00
_cell_angle_gamma 90.00
_symmetry_space_group_name_H-M 'P 4/m m m'
_symmetry_Int_Tables_number 123
_symmetry_space_group_name_Hall '-P 4 2'
loop_
_atom_site_label
_atom_site_type_symbol
_atom_site_fract_x
_atom_site_fract_y
_atom_site_fract_z
Rb1 Rb 0.0000 0.0000 0.0000
Nb1 Nb 0.0000 0.5000 0.0000
Cd1 Cd 0.5000 0.5000 0.5000
Ag1 Ag 0.0000 0.0000 0.5000
# DFT total energy in eV for the cell shown: -12.64
# Total magnetic moment in μB/f.u.: 0.000
# Fermi-level density of states in states/eV per atom: 0.40